1.
ZnSbPbF: relaxed, GGA-PBE.

abc: 3.934 3.934 11.230
angles: 90.00 90.00 90.00
Element x y z (fractional)
Sb: 0.500 0.000 0.560
Sb: 0.000 0.500 0.440
Pb: 0.000 0.500 0.143
Pb: 0.500 0.000 0.857
F: 0.000 0.000 0.000
F: 0.500 0.500 0.000
Zn: 0.500 0.000 0.297
Zn: 0.000 0.500 0.703

Properties
VASP energy	-3.419	eV per atom
calculated volume	21.727	Å³/atom
symmetry	P4/nmm, No. 129

***

2.
Co4Ni11: relaxed, GGA-PBE.

abc: 8.542 8.542 4.500
angles: 90.00 90.00 90.00
Each line ends with the local moment (μB).
Element x y z (fractional)
Ni: 0.000 0.000 0.000  0.51
Ni: 0.817 0.817 0.750  0.59
Ni: 0.565 0.764 0.500  0.60
Ni: 0.817 0.817 0.250  0.61
Ni: 0.264 0.935 0.000  0.62
Ni: 0.183 0.183 0.250  0.59
Ni: 0.100 0.900 0.500  0.59
Ni: 0.764 0.565 0.500  0.63
Ni: 0.183 0.183 0.750  0.61
Ni: 0.900 0.100 0.500  0.59
Ni: 0.683 0.317 0.750  0.60
Ni: 0.683 0.317 0.250  0.60
Ni: 0.435 0.236 0.500  0.60
Ni: 0.500 0.500 0.500  0.53
Ni: 0.236 0.435 0.500  0.63
Ni: 0.736 0.065 0.000  0.62
Ni: 0.600 0.600 0.000  0.58
Ni: 0.317 0.683 0.250  0.60
Ni: 0.935 0.264 0.000  0.58
Ni: 0.065 0.736 0.000  0.58
Ni: 0.400 0.400 0.000  0.58
Ni: 0.317 0.683 0.750  0.60
Co: 0.369 0.964 0.500  1.78
Co: 0.036 0.631 0.500  1.77
Co: 0.131 0.464 0.000  1.78
Co: 0.964 0.369 0.500  1.77
Co: 0.536 0.869 0.000  1.77
Co: 0.631 0.036 0.500  1.78
Co: 0.464 0.131 0.000  1.77
Co: 0.869 0.536 0.000  1.78

Properties
DFT formation energy	1.37	eV/f.u.
VASP energy	-5.887	eV per atom
calculated volume	10.945	Å³/atom
symmetry	P4_2/mnm, No. 136

***

Copy entry 2 word for word.
Co4Ni11: relaxed, GGA-PBE.

abc: 8.542 8.542 4.500
angles: 90.00 90.00 90.00
Each line ends with the local moment (μB).
Element x y z (fractional)
Ni: 0.000 0.000 0.000  0.51
Ni: 0.817 0.817 0.750  0.59
Ni: 0.565 0.764 0.500  0.60
Ni: 0.817 0.817 0.250  0.61
Ni: 0.264 0.935 0.000  0.62
Ni: 0.183 0.183 0.250  0.59
Ni: 0.100 0.900 0.500  0.59
Ni: 0.764 0.565 0.500  0.63
Ni: 0.183 0.183 0.750  0.61
Ni: 0.900 0.100 0.500  0.59
Ni: 0.683 0.317 0.750  0.60
Ni: 0.683 0.317 0.250  0.60
Ni: 0.435 0.236 0.500  0.60
Ni: 0.500 0.500 0.500  0.53
Ni: 0.236 0.435 0.500  0.63
Ni: 0.736 0.065 0.000  0.62
Ni: 0.600 0.600 0.000  0.58
Ni: 0.317 0.683 0.250  0.60
Ni: 0.935 0.264 0.000  0.58
Ni: 0.065 0.736 0.000  0.58
Ni: 0.400 0.400 0.000  0.58
Ni: 0.317 0.683 0.750  0.60
Co: 0.369 0.964 0.500  1.78
Co: 0.036 0.631 0.500  1.77
Co: 0.131 0.464 0.000  1.78
Co: 0.964 0.369 0.500  1.77
Co: 0.536 0.869 0.000  1.77
Co: 0.631 0.036 0.500  1.78
Co: 0.464 0.131 0.000  1.77
Co: 0.869 0.536 0.000  1.78

Properties
DFT formation energy	1.37	eV/f.u.
VASP energy	-5.887	eV per atom
calculated volume	10.945	Å³/atom
symmetry	P4_2/mnm, No. 136

***

Copy entry 2 word for word.
Co4Ni11: relaxed, GGA-PBE.

abc: 8.542 8.542 4.500
angles: 90.00 90.00 90.00
Each line ends with the local moment (μB).
Element x y z (fractional)
Ni: 0.000 0.000 0.000  0.51
Ni: 0.817 0.817 0.750  0.59
Ni: 0.565 0.764 0.500  0.60
Ni: 0.817 0.817 0.250  0.61
Ni: 0.264 0.935 0.000  0.62
Ni: 0.183 0.183 0.250  0.59
Ni: 0.100 0.900 0.500  0.59
Ni: 0.764 0.565 0.500  0.63
Ni: 0.183 0.183 0.750  0.61
Ni: 0.900 0.100 0.500  0.59
Ni: 0.683 0.317 0.750  0.60
Ni: 0.683 0.317 0.250  0.60
Ni: 0.435 0.236 0.500  0.60
Ni: 0.500 0.500 0.500  0.53
Ni: 0.236 0.435 0.500  0.63
Ni: 0.736 0.065 0.000  0.62
Ni: 0.600 0.600 0.000  0.58
Ni: 0.317 0.683 0.250  0.60
Ni: 0.935 0.264 0.000  0.58
Ni: 0.065 0.736 0.000  0.58
Ni: 0.400 0.400 0.000  0.58
Ni: 0.317 0.683 0.750  0.60
Co: 0.369 0.964 0.500  1.78
Co: 0.036 0.631 0.500  1.77
Co: 0.131 0.464 0.000  1.78
Co: 0.964 0.369 0.500  1.77
Co: 0.536 0.869 0.000  1.77
Co: 0.631 0.036 0.500  1.78
Co: 0.464 0.131 0.000  1.77
Co: 0.869 0.536 0.000  1.78

Properties
DFT formation energy	1.37	eV/f.u.
VASP energy	-5.887	eV per atom
calculated volume	10.945	Å³/atom
symmetry	P4_2/mnm, No. 136